VSiO3, optimized geometry, DFT PBE with a Hubbard U; electronic total energy = -36.3 eV/f.u.; SG = Pm-3m
1.0
-1.071 -2.745 -2.000
-0.399 -1.980 2.932
-3.373 1.106 0.288
V O Si
1 3 1
Cartesian
-2.421 -1.810 0.610
-0.536 -1.372 -1.000
-1.686 0.553 0.144
-0.200 -0.990 1.466
0.000 0.000 0.000